# HoAlFe5

Crystalline HoAlFe5 at its relaxed geometry (GGA-PBE, the Alexandria database).

Properties
Total moment ... 37.5 μB per cell
Total DFT energy (no corrections) ... -7.375 eV per atom
Formation energy from the elements ... -1.0 eV per formula unit

abc: 7.9689 4.8592 10.1395
angles: 90.00 90.00 90.00
With the nearest neighbours (Å) after each atom.
Space group Pnma (No. 62)
Unique sites:
1 Ho 0.2399 0.2500 0.0612 [4 per cell]  13 Fe 2.83-3.16, 1 Al 3.15
2 Al 0.1426 0.7500 0.8595 [4 per cell]  10 Fe 2.61-2.90
3 Fe 0.0513 0.7500 0.1070 [4 per cell]  4 Fe 2.42-2.51, 1 Al 2.61
4 Fe 0.0631 0.0054 0.3113 [8 per cell]  7 Fe 2.38-2.48
5 Fe 0.0873 0.2500 0.5181 [4 per cell]  5 Fe 2.42-2.52, 1 Al 2.69
6 Fe 0.1934 0.2500 0.7517 [4 per cell]  7 Fe 2.38-2.52

---

# PbSe3Br

Crystalline PbSe3Br at its relaxed geometry (GGA-PBE, the Alexandria database).

Properties
Total moment ... 3.7 μB per cell
Total DFT energy (no corrections) ... -2.515 eV per atom
Raw formation energy ... 62.94 kJ/mol of atoms
Polymorph energy (0 for the lowest one) ... 208 meV/atom

abc: 5.5875 5.5875 5.5875
angles: 90.00 90.00 90.00
With the nearest neighbours (Å) after each atom.
Space group Pm-3m (No. 221)
Unique sites:
1 Pb 0.0000 0.0000 0.0000 [1 per cell]  6 Se 2.79
2 Se 0.0000 0.0000 0.5000 [3 per cell]  2 Pb 2.79
3 Br 0.5000 0.5000 0.5000 [1 per cell]  12 Se 3.95